[1]
DFT (PBE) results for crystalline NdMoH at its relaxed geometry.

Properties
Calculated density in g/cm³: 8.08
VASP energy in eV/atom: -6.01

Cell lengths 3.2354, 3.2354, 10.9430 Å; angles 90.00, 90.00, 120.00 degrees
Space group P-6m2 (No. 187)
One atom of each set of equivalent atoms:
Nd (0.0000, 0.0000, 0.1576)
Mo (0.3333, 0.6667, 0.3973)
H (0.0000, 0.0000, 0.5000)
H (0.3333, 0.6667, 0.0000)


[2]
DFT (PBE) results for crystalline BeCu2Os at its relaxed geometry.

Properties
Calculated density in g/cm³: 11.27
DFT formation energy in eV/atom: 0.245

Cell lengths 2.540, 3.868, 4.894 Å; angles 90.00, 90.00, 90.00 degrees
Space group Pmmm (No. 47)
One atom of each set of equivalent atoms:
Be (0.000, 0.000, 0.000)
Cu (0.500, 0.500, 0.243)
Os (0.000, 0.000, 0.500)


[3]
DFT (PBE) results for crystalline Y2Nb2Cu at its relaxed geometry.

Properties
Calculated density in g/cm³: 5.95
E above lowest polymorph in meV per atom: 346
DFT formation energy in eV/atom: 0.684

Cell lengths 7.431, 7.431, 4.315 Å; angles 90.00, 90.00, 90.00 degrees
Space group P4/mbm (No. 127)
One atom of each set of equivalent atoms:
Y (0.164, 0.336, 0.000)
Nb (0.129, 0.629, 0.500)
Cu (0.000, 0.000, 0.000)


[4]
DFT (PBE) results for crystalline Tb2ZrGa3 at its relaxed geometry.

Properties
Calculated density in g/cm³: 7.18
DFT formation energy in eV/atom: -0.338

Cell lengths 3.478, 5.793, 14.193 Å; angles 90.00, 90.00, 90.00 degrees
Space group Immm (No. 71)
One atom of each set of equivalent atoms:
Tb (0.000, 0.000, 0.171)
Zr (0.000, 0.000, 0.500)
Ga (0.000, 0.500, 0.156)
Ga (0.000, 0.500, 0.500)


[5]
DFT (PBE) results for crystalline PrEuZnSb at its relaxed geometry.

Properties
Calculated density in g/cm³: 7.12
Raw formation energy in eV per atom: -0.580

Cell lengths 7.650, 7.650, 7.650 Å; angles 90.00, 90.00, 90.00 degrees
Space group F-43m (No. 216)
One atom of each set of equivalent atoms:
Pr (0.000, 0.000, 0.000)
Eu (0.000, 0.000, 0.500)
Zn (0.250, 0.250, 0.750)
Sb (0.250, 0.250, 0.250)


[6]
DFT (PBE) results for crystalline AlCrRu2 at its relaxed geometry.

Properties
Calculated density in g/cm³: 8.52
DFT formation energy in eV/atom: 0.148

Cell lengths 2.873, 4.478, 8.515 Å; angles 90.00, 90.00, 90.00 degrees
Space group Cmm2 (No. 35)
One atom of each set of equivalent atoms:
Al (0.000, 0.000, 0.000)
Cr (0.000, 0.500, 0.752)
Ru (0.000, 0.000, 0.514)
Ru (0.000, 0.500, 0.243)


[7]
DFT (PBE) results for crystalline Ce4MgCd at its relaxed geometry.

Properties
Calculated density in g/cm³: 7.92
DFT formation energy in eV/atom: -0.033

Cell lengths 5.318, 5.958, 9.227 Å; angles 90.00, 90.00, 90.00 degrees
Space group Immm (No. 71)
One atom of each set of equivalent atoms:
Ce (0.000, 0.245, 0.167)
Mg (0.000, 0.500, 0.500)
Cd (0.000, 0.000, 0.500)


[8]
DFT (PBE) results for crystalline SbIrRu at its relaxed geometry.

Properties
Calculated density in g/cm³: 13.68
E above lowest polymorph in meV per atom: 45
Raw formation energy in eV per atom: 0.307

Cell lengths 4.3865, 4.3865, 3.0235 Å; angles 90.00, 90.00, 120.00 degrees
Space group P3m1 (No. 156)
One atom of each set of equivalent atoms:
Sb (0.0000, 0.0000, 0.0000)
Ir (0.6667, 0.3333, 0.2404)
Ru (0.3333, 0.6667, 0.7243)


[9]
DFT (PBE) results for crystalline ScSiRh3 at its relaxed geometry.

Properties
Calculated density in g/cm³: 6.51
E above lowest polymorph in meV per atom: 1609
Raw formation energy in eV per atom: 0.929

Cell lengths 4.601, 4.601, 4.601 Å; angles 90.00, 90.00, 90.00 degrees
Space group Pm-3m (No. 221)
One atom of each set of equivalent atoms:
Sc (0.000, 0.000, 0.000)
Si (0.500, 0.500, 0.500)
Rh (0.000, 0.000, 0.500)


[10]
DFT (PBE) results for crystalline Zr5Zn at its relaxed geometry.

Properties
Calculated density in g/cm³: 6.64
E above lowest polymorph in meV per atom: 47
DFT formation energy in eV/atom: -0.018

Cell lengths 5.419, 9.399, 5.392 Å; angles 90.00, 108.31, 90.00 degrees
Space group C2/m (No. 12)
One atom of each set of equivalent atoms:
Zr (0.000, 0.000, 0.000)
Zr (0.000, 0.165, 0.500)
Zr (0.000, 0.343, 0.000)
Zn (0.000, 0.500, 0.500)


[11]
DFT (PBE) results for crystalline SrTaBe at its relaxed geometry.

Properties
Calculated density in g/cm³: 5.75
E above lowest polymorph in meV per atom: 1672
DFT formation energy in eV/atom: 2.321

Cell lengths 6.845, 6.845, 6.845 Å; angles 90.00, 90.00, 90.00 degrees
Space group F-43m (No. 216)
One atom of each set of equivalent atoms:
Sr (0.000, 0.000, 0.000)
Ta (0.250, 0.250, 0.250)
Be (0.250, 0.250, 0.750)


[12]
DFT (PBE) results for crystalline Co3Re5 at its relaxed geometry.

Properties
Calculated density in g/cm³: 17.35
E above lowest polymorph in meV per atom: 0
DFT formation energy in eV/atom: 0.043

Cell lengths 10.581, 9.469, 4.732 Å; angles 90.00, 116.56, 90.00 degrees
Space group C2/c (No. 15)
One atom of each set of equivalent atoms:
Co (0.000, 0.000, 0.250)
Co (0.168, 0.332, 0.168)
Re (0.000, 0.500, 0.250)
Re (0.075, 0.223, 0.575)
Re (0.223, 0.075, 0.223)


[13]
DFT (PBE) results for crystalline Ni5Ir3 at its relaxed geometry.

Properties
Calculated density in g/cm³: 14.65
E above lowest polymorph in meV per atom: 0
DFT formation energy in eV/atom: 0.042

Cell lengths 7.226, 7.426, 3.676 Å; angles 90.00, 90.00, 90.00 degrees
Space group Cmmm (No. 65)
One atom of each set of equivalent atoms:
Ni (0.000, 0.000, 0.000)
Ni (0.246, 0.000, 0.500)
Ni (0.250, 0.250, 0.000)
Ir (0.000, 0.247, 0.500)
Ir (0.000, 0.500, 0.000)